(1)
Computed, not measured: crystalline Li3PbSe at its relaxed geometry at the GGA-PBEsol level of DFT.

Raw total energy: -16.3 eV/cell
Crystal system: cubic

a = 4.7746 Å, b = 4.7746 Å, c = 4.7746 Å
α = 90.00°, β = 90.00°, γ = 90.00°
With the nearest neighbours (Å) after each atom.
Space group Pm-3m (No. 221)
One atom of each set of equivalent atoms:
Li (0.0000, 0.0000, 0.5000) (multiplicity 3)  2 Se 2.39
Pb (0.5000, 0.5000, 0.5000) (multiplicity 1)  12 Li 3.38
Se (0.0000, 0.0000, 0.0000) (multiplicity 1)  6 Li 2.39

(2)
Computed, not measured: crystalline CaMg2Cl at its relaxed geometry at the GGA-PBEsol level of DFT.

Raw total energy: -9.1 eV/cell
Crystal system: orthorhombic

a = 3.5881 Å, b = 5.5586 Å, c = 5.7356 Å
α = 90.00°, β = 90.00°, γ = 90.00°
With the nearest neighbours (Å) after each atom.
Space group Pmmm (No. 47)
One atom of each set of equivalent atoms:
Ca (0.0000, 0.0000, 0.0000) (multiplicity 1)  2 Cl 2.78
Mg (0.5000, 0.2507, 0.5000) (multiplicity 2)  2 Mg 2.77-2.79
Cl (0.0000, 0.5000, 0.0000) (multiplicity 1)  2 Ca 2.78